# SbRh2W PBE-GGA optimized geometry
data_SbRh2W
_chemical_formula_sum 'Sb1 Rh2 W1'
_symmetry_space_group_name_H-M 'P 1'
_symmetry_Int_Tables_number 1
_symmetry_space_group_name_Hall 'P 1'
_cell_length_a 4.8927
_cell_length_b 4.8927
_cell_length_c 4.8927
_cell_angle_alpha 131.51
_cell_angle_beta 131.51
_cell_angle_gamma 71.00
loop_
_atom_site_label
_atom_site_type_symbol
_atom_site_fract_x
_atom_site_fract_y
_atom_site_fract_z
W1 W 0.5000 0.5000 0.0000
Rh1 Rh 0.7500 0.2500 0.5000
Rh2 Rh 0.2500 0.7500 0.5000
Sb1 Sb 0.0000 0.0000 0.0000
# Calculated volume, Å³/atom: 16.078
# Spin magnetization, μB per atom: 0.154
# N(E_F), states/eV per atom: 0.676
# E_form (uncorrected), eV/atom: 0.03
# Symmetry: I4/mmm (139)